Model one:
# Pm12DyHo6 | the Alexandria database | PBE-GGA | relaxed
# crystal system = trigonal
# N(E_F) = 32.39 states/eV/f.u.
data_Pm12DyHo6
_chemical_formula_sum 'Pm12 Dy1 Ho6'
_cell_length_a 8.634
_cell_length_b 8.634
_cell_length_c 8.634
_cell_angle_alpha 88.90
_cell_angle_beta 88.90
_cell_angle_gamma 88.90
_space_group_name_H-M_alt 'P 1'
_space_group_IT_number 1
loop_
_space_group_symop_operation_xyz
'x,y,z'
loop_
_atom_site_label
_atom_site_type_symbol
_atom_site_fract_x
_atom_site_fract_y
_atom_site_fract_z
_atom_site_occupancy
Pm1 Pm 0.017 0.362 0.196 1
Pm2 Pm 0.196 0.017 0.362 1
Pm3 Pm 0.220 0.567 0.463 1
Pm4 Pm 0.362 0.196 0.017 1
Pm5 Pm 0.433 0.537 0.780 1
Pm6 Pm 0.463 0.220 0.567 1
Pm7 Pm 0.537 0.780 0.433 1
Pm8 Pm 0.567 0.463 0.220 1
Pm9 Pm 0.638 0.804 0.983 1
Pm10 Pm 0.780 0.433 0.537 1
Pm11 Pm 0.804 0.983 0.638 1
Pm12 Pm 0.983 0.638 0.804 1
Dy1 Dy 0.000 0.000 0.000 1
Ho1 Ho 0.098 0.259 0.701 1
Ho2 Ho 0.259 0.701 0.098 1
Ho3 Ho 0.299 0.902 0.741 1
Ho4 Ho 0.701 0.098 0.259 1
Ho5 Ho 0.741 0.299 0.902 1
Ho6 Ho 0.902 0.741 0.299 1

Model two:
# Pm12DyHo6 | the Alexandria database | PBE-GGA | relaxed
# crystal system = trigonal
# N(E_F) = 25.84 states/eV/f.u.
data_Pm12DyHo6
_chemical_formula_sum 'Pm12 Dy1 Ho6'
_cell_length_a 9.532
_cell_length_b 9.532
_cell_length_c 9.532
_cell_angle_alpha 110.90
_cell_angle_beta 110.90
_cell_angle_gamma 110.90
_space_group_name_H-M_alt 'P 1'
_space_group_IT_number 1
loop_
_space_group_symop_operation_xyz
'x,y,z'
loop_
_atom_site_label
_atom_site_type_symbol
_atom_site_fract_x
_atom_site_fract_y
_atom_site_fract_z
_atom_site_occupancy
Pm1 Pm 0.056 0.580 0.371 1
Pm2 Pm 0.105 0.157 0.737 1
Pm3 Pm 0.157 0.737 0.105 1
Pm4 Pm 0.263 0.895 0.843 1
Pm5 Pm 0.371 0.056 0.580 1
Pm6 Pm 0.420 0.629 0.944 1
Pm7 Pm 0.580 0.371 0.056 1
Pm8 Pm 0.629 0.944 0.420 1
Pm9 Pm 0.737 0.105 0.157 1
Pm10 Pm 0.843 0.263 0.895 1
Pm11 Pm 0.895 0.843 0.263 1
Pm12 Pm 0.944 0.420 0.629 1
Dy1 Dy 0.000 0.000 0.000 1
Ho1 Ho 0.213 0.317 0.472 1
Ho2 Ho 0.317 0.472 0.213 1
Ho3 Ho 0.472 0.213 0.317 1
Ho4 Ho 0.528 0.787 0.683 1
Ho5 Ho 0.683 0.528 0.787 1
Ho6 Ho 0.787 0.683 0.528 1

The least stable of them is model one.

Model one:
# Pm3DyHo3 | the Alexandria database | PBE-GGA | relaxed
# crystal system = trigonal
# N(E_F) = 10.77 states/eV/f.u.
data_Pm3DyHo3
_chemical_formula_sum 'Pm6 Dy2 Ho6'
_cell_length_a 14.794
_cell_length_b 14.794
_cell_length_c 14.794
_cell_angle_alpha 24.21
_cell_angle_beta 24.21
_cell_angle_gamma 24.21
_space_group_name_H-M_alt 'P 1'
_space_group_IT_number 1
loop_
_space_group_symop_operation_xyz
'x,y,z'
loop_
_atom_site_label
_atom_site_type_symbol
_atom_site_fract_x
_atom_site_fract_y
_atom_site_fract_z
_atom_site_occupancy
Pm1 Pm 0.131 0.462 0.800 1
Pm2 Pm 0.200 0.869 0.538 1
Pm3 Pm 0.462 0.800 0.131 1
Pm4 Pm 0.538 0.200 0.869 1
Pm5 Pm 0.800 0.131 0.462 1
Pm6 Pm 0.869 0.538 0.200 1
Dy1 Dy 0.333 0.333 0.333 1
Dy2 Dy 0.667 0.667 0.667 1
Ho1 Ho 0.065 0.731 0.399 1
Ho2 Ho 0.269 0.601 0.935 1
Ho3 Ho 0.399 0.065 0.731 1
Ho4 Ho 0.601 0.935 0.269 1
Ho5 Ho 0.731 0.399 0.065 1
Ho6 Ho 0.935 0.269 0.601 1

Model two:
# Pm3DyHo3 | the Alexandria database | PBE-GGA | relaxed
# crystal system = hexagonal
# N(E_F) = 12.67 states/eV/f.u.
data_Pm3DyHo3
_chemical_formula_sum 'Pm6 Dy2 Ho6'
_cell_length_a 9.613
_cell_length_b 9.613
_cell_length_c 5.737
_cell_angle_alpha 90.00
_cell_angle_beta 90.00
_cell_angle_gamma 120.00
_space_group_name_H-M_alt 'P 1'
_space_group_IT_number 1
loop_
_space_group_symop_operation_xyz
'x,y,z'
loop_
_atom_site_label
_atom_site_type_symbol
_atom_site_fract_x
_atom_site_fract_y
_atom_site_fract_z
_atom_site_occupancy
Pm1 Pm 0.049 0.807 0.250 1
Pm2 Pm 0.193 0.242 0.250 1
Pm3 Pm 0.242 0.049 0.750 1
Pm4 Pm 0.758 0.951 0.250 1
Pm5 Pm 0.807 0.758 0.750 1
Pm6 Pm 0.951 0.193 0.750 1
Dy1 Dy 0.333 0.667 0.250 1
Dy2 Dy 0.667 0.333 0.750 1
Ho1 Ho 0.095 0.617 0.750 1
Ho2 Ho 0.383 0.478 0.750 1
Ho3 Ho 0.478 0.095 0.250 1
Ho4 Ho 0.522 0.905 0.750 1
Ho5 Ho 0.617 0.522 0.250 1
Ho6 Ho 0.905 0.383 0.250 1

The least stable of them is model one.

Model one:
# Pm12Dy5Ho2 | the Alexandria database | PBE-GGA | relaxed
# crystal system = monoclinic
# N(E_F) = 27.38 states/eV/f.u.
data_Pm12Dy5Ho2
_chemical_formula_sum 'Pm12 Dy5 Ho2'
_cell_length_a 10.687
_cell_length_b 10.687
_cell_length_c 6.218
_cell_angle_alpha 100.56
_cell_angle_beta 100.56
_cell_angle_gamma 66.40
_space_group_name_H-M_alt 'P 1'
_space_group_IT_number 1
loop_
_space_group_symop_operation_xyz
'x,y,z'
loop_
_atom_site_label
_atom_site_type_symbol
_atom_site_fract_x
_atom_site_fract_y
_atom_site_fract_z
_atom_site_occupancy
Pm1 Pm 0.046 0.560 0.801 1
Pm2 Pm 0.055 0.055 0.274 1
Pm3 Pm 0.147 0.646 0.383 1
Pm4 Pm 0.354 0.853 0.617 1
Pm5 Pm 0.380 0.380 0.999 1
Pm6 Pm 0.440 0.954 0.199 1
Pm7 Pm 0.560 0.046 0.801 1
Pm8 Pm 0.620 0.620 0.001 1
Pm9 Pm 0.646 0.147 0.383 1
Pm10 Pm 0.853 0.354 0.617 1
Pm11 Pm 0.945 0.945 0.726 1
Pm12 Pm 0.954 0.440 0.199 1
Dy1 Dy 0.177 0.177 0.860 1
Dy2 Dy 0.284 0.284 0.447 1
Dy3 Dy 0.500 0.500 0.500 1
Dy4 Dy 0.716 0.716 0.553 1
Dy5 Dy 0.823 0.823 0.140 1
Ho1 Ho 0.270 0.730 0.000 1
Ho2 Ho 0.730 0.270 0.000 1

Model two:
# Pm12Dy5Ho2 | the Alexandria database | PBE-GGA | relaxed
# crystal system = monoclinic
# N(E_F) = 27.12 states/eV/f.u.
data_Pm12Dy5Ho2
_chemical_formula_sum 'Pm12 Dy5 Ho2'
_cell_length_a 9.192
_cell_length_b 9.192
_cell_length_c 8.726
_cell_angle_alpha 91.80
_cell_angle_beta 91.80
_cell_angle_gamma 60.56
_space_group_name_H-M_alt 'P 1'
_space_group_IT_number 1
loop_
_space_group_symop_operation_xyz
'x,y,z'
loop_
_atom_site_label
_atom_site_type_symbol
_atom_site_fract_x
_atom_site_fract_y
_atom_site_fract_z
_atom_site_occupancy
Pm1 Pm 0.060 0.060 0.342 1
Pm2 Pm 0.067 0.675 0.322 1
Pm3 Pm 0.168 0.531 0.763 1
Pm4 Pm 0.325 0.933 0.678 1
Pm5 Pm 0.419 0.419 0.118 1
Pm6 Pm 0.469 0.832 0.237 1
Pm7 Pm 0.531 0.168 0.763 1
Pm8 Pm 0.581 0.581 0.882 1
Pm9 Pm 0.675 0.067 0.322 1
Pm10 Pm 0.832 0.469 0.237 1
Pm11 Pm 0.933 0.325 0.678 1
Pm12 Pm 0.940 0.940 0.658 1
Dy1 Dy 0.203 0.203 0.027 1
Dy2 Dy 0.269 0.269 0.432 1
Dy3 Dy 0.500 0.500 0.500 1
Dy4 Dy 0.731 0.731 0.568 1
Dy5 Dy 0.797 0.797 0.973 1
Ho1 Ho 0.171 0.829 0.000 1
Ho2 Ho 0.829 0.171 0.000 1

The least stable of them is model two.

Model one:
# Pm8Dy3Ho2 | the Alexandria database | PBE-GGA | relaxed
# crystal system = monoclinic
# N(E_F) = 19.05 states/eV/f.u.
data_Pm8Dy3Ho2
_chemical_formula_sum 'Pm8 Dy3 Ho2'
_cell_length_a 10.861
_cell_length_b 10.861
_cell_length_c 5.717
_cell_angle_alpha 90.02
_cell_angle_beta 90.02
_cell_angle_gamma 41.56
_space_group_name_H-M_alt 'P 1'
_space_group_IT_number 1
loop_
_space_group_symop_operation_xyz
'x,y,z'
loop_
_atom_site_label
_atom_site_type_symbol
_atom_site_fract_x
_atom_site_fract_y
_atom_site_fract_z
_atom_site_occupancy
Pm1 Pm 0.100 0.688 0.000 1
Pm2 Pm 0.172 0.172 0.501 1
Pm3 Pm 0.312 0.900 0.000 1
Pm4 Pm 0.368 0.368 0.500 1
Pm5 Pm 0.632 0.632 0.500 1
Pm6 Pm 0.688 0.100 0.000 1
Pm7 Pm 0.828 0.828 0.499 1
Pm8 Pm 0.900 0.312 0.000 1
Dy1 Dy 0.214 0.786 0.500 1
Dy2 Dy 0.500 0.500 0.000 1
Dy3 Dy 0.786 0.214 0.500 1
Ho1 Ho 0.260 0.260 0.001 1
Ho2 Ho 0.740 0.740 0.999 1

Model two:
# Pm8Dy3Ho2 | the Alexandria database | PBE-GGA | relaxed
# crystal system = triclinic
# N(E_F) = 20.45 states/eV/f.u.
data_Pm8Dy3Ho2
_chemical_formula_sum 'Pm8 Dy3 Ho2'
_cell_length_a 6.153
_cell_length_b 6.783
_cell_length_c 11.974
_cell_angle_alpha 87.12
_cell_angle_beta 76.02
_cell_angle_gamma 63.88
_space_group_name_H-M_alt 'P 1'
_space_group_IT_number 1
loop_
_space_group_symop_operation_xyz
'x,y,z'
loop_
_atom_site_label
_atom_site_type_symbol
_atom_site_fract_x
_atom_site_fract_y
_atom_site_fract_z
_atom_site_occupancy
Pm1 Pm 0.118 0.089 0.328 1
Pm2 Pm 0.247 0.378 0.736 1
Pm3 Pm 0.273 0.688 0.114 1
Pm4 Pm 0.350 0.834 0.803 1
Pm5 Pm 0.650 0.166 0.197 1
Pm6 Pm 0.727 0.312 0.886 1
Pm7 Pm 0.753 0.622 0.264 1
Pm8 Pm 0.882 0.911 0.672 1
Dy1 Dy 0.192 0.227 0.034 1
Dy2 Dy 0.500 0.000 0.500 1
Dy3 Dy 0.808 0.773 0.966 1
Ho1 Ho 0.232 0.566 0.428 1
Ho2 Ho 0.768 0.434 0.572 1

The least stable of them is model one.